This record from Alexandria describes LaMgAlGa2 after structural relaxation. The functional is PBE.

Lattice parameters (Å, degrees): 4.354 4.354 11.432 90.00 90.00 90.00
Sites, in units of the cell vectors:
La (0.000, 0.000, 0.000)
La (0.500, 0.500, 0.500)
Mg (0.000, 0.500, 0.250)
Mg (0.500, 0.000, 0.750)
Al (0.000, 0.500, 0.750)
Al (0.500, 0.000, 0.250)
Ga (0.000, 0.000, 0.390)
Ga (0.000, 0.000, 0.610)
Ga (0.500, 0.500, 0.110)
Ga (0.500, 0.500, 0.890)

The symmetry is I-4m2 (119). As for the formation energy: -0.49 eV per atom. For the density, the calculation gives 5.1 g cm⁻³. The total magnetic moment comes out at 0.00 μB per formula unit.